No. 1
DFT (GGA-PBE) results for an optimized crystal structure of Tm2SiB2Ir5.

Unit cell a=3.2100 b=9.3738 c=9.3738 alpha=90.00 beta=90.00 gamma=90.00
With the nearest neighbours (Å) after each atom.
Sites, in units of the cell vectors:
Ir (0.5000, 0.7855, 0.9316)  2 B 2.27
Ir (0.5000, 0.4316, 0.2855)  2 B 2.27
Ir (0.5000, 0.0684, 0.7855)  2 B 2.27
Ir (0.5000, 0.2855, 0.5684)  2 B 2.27
Ir (0.5000, 0.5000, 0.0000)  4 B 2.29
Ir (0.5000, 0.0000, 0.5000)  4 B 2.29
Ir (0.5000, 0.7145, 0.4316)  2 B 2.27
Ir (0.5000, 0.2145, 0.0684)  2 B 2.27
Ir (0.5000, 0.9316, 0.2145)  2 B 2.27
Ir (0.5000, 0.5684, 0.7145)  2 B 2.27
Si (0.0000, 0.5000, 0.5000)  8 Ir 2.65
Si (0.0000, 0.0000, 0.0000)  8 Ir 2.65
Tm (0.0000, 0.3238, 0.8238)  3 B 2.66-2.85, 10 Ir 2.83-2.98
Tm (0.0000, 0.8238, 0.6762)  3 B 2.66-2.85, 10 Ir 2.83-2.98
Tm (0.0000, 0.1762, 0.3238)  3 B 2.66-2.85, 10 Ir 2.83-2.98
Tm (0.0000, 0.6762, 0.1762)  3 B 2.66-2.85, 10 Ir 2.83-2.98
B (0.0000, 0.3772, 0.1228)  6 Ir 2.27-2.29
B (0.0000, 0.8772, 0.3772)  6 Ir 2.27-2.29
B (0.0000, 0.6228, 0.8772)  6 Ir 2.27-2.29
B (0.0000, 0.1228, 0.6228)  6 Ir 2.27-2.29

Computed properties:
Density of states at the Fermi level ... 0.2225 states/eV/atom
E_tot ... -8.0032 eV per atom
Raw formation energy ... -801 meV per atom

No. 2
DFT (GGA-PBE) results for an optimized crystal structure of CaTb3Pr6Nd2.

Unit cell a=6.3871 b=6.3871 c=12.1176 alpha=95.01 beta=95.01 gamma=120.01
With the nearest neighbours (Å) after each atom.
Sites, in units of the cell vectors:
Pr (0.2521, 0.2521, 0.7438)  3 Tb 3.59-3.61, 6 Pr 3.66-3.74, 2 Nd 3.72, 1 Ca 3.74
Pr (0.7479, 0.7479, 0.2562)  3 Tb 3.59-3.61, 6 Pr 3.66-3.74, 2 Nd 3.72, 1 Ca 3.74
Pr (0.9139, 0.5756, 0.7445)  3 Tb 3.60-3.62, 6 Pr 3.66-3.74, 2 Nd 3.70-3.71, 1 Ca 3.74
Pr (0.5756, 0.9139, 0.7445)  3 Tb 3.60-3.62, 6 Pr 3.66-3.74, 2 Nd 3.70-3.71, 1 Ca 3.74
Pr (0.4244, 0.0861, 0.2555)  3 Tb 3.60-3.62, 6 Pr 3.66-3.74, 2 Nd 3.70-3.71, 1 Ca 3.74
Pr (0.0861, 0.4244, 0.2555)  3 Tb 3.60-3.62, 6 Pr 3.66-3.74, 2 Nd 3.70-3.71, 1 Ca 3.74
Tb (0.8339, 0.1661, 0.5000)  6 Pr 3.60-3.62, 6 Tb 3.68-3.69
Tb (0.1661, 0.8339, 0.5000)  6 Pr 3.60-3.62, 6 Tb 3.68-3.69
Tb (0.5000, 0.5000, 0.5000)  6 Pr 3.59-3.62, 6 Tb 3.68-3.69
Nd (0.6671, 0.3329, 0.0000)  3 Nd 3.68-3.70, 3 Ca 3.68-3.69, 6 Pr 3.70-3.72
Nd (0.3329, 0.6671, 0.0000)  3 Nd 3.68-3.70, 3 Ca 3.68-3.69, 6 Pr 3.70-3.72
Ca (0.0000, 0.0000, 0.0000)  6 Nd 3.68-3.69, 6 Pr 3.74

Computed properties:
Density of states at the Fermi level ... 1.1604 states/eV/atom
E_tot ... -4.4863 eV per atom
Formation energy ... 0.02 eV/atom

No. 3
DFT (GGA-PBE) results for an optimized crystal structure of Fe2BiCl.

Unit cell a=4.7191 b=4.7191 c=4.7191 alpha=60.00 beta=60.00 gamma=60.00
With the nearest neighbours (Å) after each atom.
Sites, in units of the cell vectors:
Fe (0.2500, 0.2500, 0.2500)  4 Cl 2.89, 4 Bi 2.89
Fe (0.7500, 0.7500, 0.7500)  4 Cl 2.89, 4 Bi 2.89
Bi (0.5000, 0.5000, 0.5000)  8 Fe 2.89
Cl (0.0000, 0.0000, 0.0000)  8 Fe 2.89

Computed properties:
E above lowest polymorph ... 170 meV per atom
Density of states at the Fermi level ... 2.2033 states/eV/atom
E_tot ... -4.9501 eV per atom
Raw formation energy ... 713 meV per atom

No. 4
DFT (GGA-PBE) results for an optimized crystal structure of Cd2RuPt.

Unit cell a=7.5007 b=7.5007 c=5.9747 alpha=51.12 beta=51.12 gamma=90.00
With the nearest neighbours (Å) after each atom.
Sites, in units of the cell vectors:
Ru (0.2500, 0.7500, 0.5000)  2 Pt 2.75, 4 Cd 2.76
Ru (0.5000, 0.5000, 0.0000)  2 Pt 2.75, 4 Cd 2.76
Cd (0.1213, 0.6250, 0.2500)  2 Pt 2.72, 2 Cd 2.75, 2 Ru 2.76
Cd (0.6287, 0.1250, 0.2500)  2 Pt 2.72, 2 Cd 2.75, 2 Ru 2.76
Cd (0.8750, 0.8787, 0.7500)  2 Pt 2.72, 2 Cd 2.75, 2 Ru 2.76
Cd (0.3750, 0.3713, 0.7500)  2 Pt 2.72, 2 Cd 2.75, 2 Ru 2.76
Pt (0.0000, 0.0000, 0.0000)  4 Cd 2.72, 2 Ru 2.75
Pt (0.7500, 0.2500, 0.5000)  4 Cd 2.72, 2 Ru 2.75

Computed properties:
Density of states at the Fermi level ... 0.8550 states/eV/atom
E_tot ... -3.7893 eV per atom
Formation energy ... 0.50 eV/atom

No. 5
DFT (GGA-PBE) results for an optimized crystal structure of YMgAg2.

Unit cell a=5.4162 b=5.4162 c=5.1389 alpha=75.86 beta=75.86 gamma=37.06
With the nearest neighbours (Å) after each atom.
Sites, in units of the cell vectors:
Ag (0.7452, 0.7452, 0.7175)  3 Mg 2.95-2.97, 2 Ag 3.03, 4 Y 3.09-3.10
Ag (0.0104, 0.0104, 0.0087)  4 Mg 2.93-3.28, 3 Y 2.99-3.05, 2 Ag 3.03
Mg (0.4855, 0.4855, 0.5627)  7 Ag 2.93-3.28
Y (0.2589, 0.2589, 0.2110)  7 Ag 2.99-3.10, 1 Mg 3.29

Computed properties:
Density of states at the Fermi level ... 0.5576 states/eV/atom
E_tot ... -3.6145 eV per atom
Formation energy ... -0.17 eV/atom

No. 6
DFT (GGA-PBE) results for an optimized crystal structure of Cs2HfBiS4.

Unit cell a=7.1888 b=8.1001 c=12.7944 alpha=82.84 beta=73.68 gamma=63.66
With the nearest neighbours (Å) after each atom.
Sites, in units of the cell vectors:
Bi (0.2500, 0.5000, 0.5000)  4 S 2.87
Bi (0.5000, 0.0000, 0.0000)  4 S 2.87
S (0.8052, 0.6758, 0.6150)  1 Hf 2.39
S (0.5189, 0.6758, 0.3850)  1 Hf 2.39
S (0.0960, 0.3242, 0.3850)  1 Hf 2.39
S (0.6540, 0.1758, 0.1150)  1 Hf 2.39
S (0.1702, 0.1758, 0.8850)  1 Hf 2.39
S (0.9448, 0.8242, 0.8850)  1 Hf 2.39
S (0.5798, 0.3242, 0.6150)  1 Hf 2.39
S (0.2311, 0.8242, 0.1150)  1 Hf 2.39
Cs (0.5674, 0.5000, 0.8653)  6 S 3.63-4.01
Cs (0.1826, 0.0000, 0.6347)  6 S 3.63-4.01
Cs (0.9326, 0.5000, 0.1347)  6 S 3.63-4.01
Cs (0.8174, 0.0000, 0.3653)  6 S 3.63-4.01
Hf (0.0000, 0.0000, 0.0000)  4 S 2.39
Hf (0.7500, 0.5000, 0.5000)  4 S 2.39

Computed properties:
Density of states at the Fermi level ... 0.2749 states/eV/atom
E_tot ... -5.0248 eV per atom
Raw formation energy ... -1018 meV per atom

No. 7
DFT (GGA-PBE) results for an optimized crystal structure of Sr2Ag2Ge.

Unit cell a=6.1883 b=6.1883 c=5.8599 alpha=58.13 beta=58.13 gamma=90.00
With the nearest neighbours (Å) after each atom.
Sites, in units of the cell vectors:
Sr (0.7500, 0.2500, 0.5000)  4 Ag 3.16
Sr (0.2500, 0.7500, 0.5000)  4 Ag 3.16
Ag (0.3321, 0.3321, 0.3357)  1 Ge 2.59, 1 Ag 2.62
Ag (0.6679, 0.6679, 0.6643)  1 Ge 2.59, 1 Ag 2.62
Ge (0.0000, 0.0000, 0.0000)  2 Ag 2.59

Computed properties:
E above lowest polymorph ... 158 meV per atom
Density of states at the Fermi level ... 0.0000 states/eV/atom
E_tot ... -2.9387 eV per atom
Formation energy ... -0.20 eV/atom

No. 8
DFT (GGA-PBE) results for an optimized crystal structure of ThGaCl.

Unit cell a=4.1512 b=4.1512 c=11.3877 alpha=90.08 beta=100.42 gamma=119.99
With the nearest neighbours (Å) after each atom.
Sites, in units of the cell vectors:
Ga (0.6707, 0.8354, 0.5061)  3 Ga 2.40
Ga (0.3293, 0.1646, 0.4939)  3 Ga 2.40
Cl (0.5620, 0.2822, 0.8442)  3 Th 2.97-2.98
Cl (0.4380, 0.7178, 0.1558)  3 Th 2.97-2.98
Th (0.1235, 0.5625, 0.6859)  3 Cl 2.97-2.98, 6 Ga 3.12-3.21
Th (0.8765, 0.4375, 0.3141)  3 Cl 2.97-2.98, 6 Ga 3.12-3.21

Computed properties:
Density of states at the Fermi level ... 0.4485 states/eV/atom
E_tot ... -5.2840 eV per atom
Raw formation energy ... -1186 meV per atom